#w
Density functional theory data (PBE-GGA) for an optimized crystal structure of KCd3Pt.

Cell: 7.0297 12.7590 6.5256 Å, 90.00 90.03 90.00°
Space group Cc (No. 9)
Unique sites:
K: 0.0000 0.0798 0.0000 (multiplicity 4)
Cd: 0.9997 0.4981 0.4621 (multiplicity 4)
Cd: 0.2161 0.2037 0.4859 (multiplicity 4)
Cd: 0.2819 0.2971 0.9861 (multiplicity 4)
Pt: 0.4991 0.1672 0.2166 (multiplicity 4)

Values from the calculation:
D(E_F)   6.11 states/eV/cell
Total moment   0.00 Bohr magnetons per cell


#x
Density functional theory data (PBE-GGA) for an optimized crystal structure of KCd3Pt.

Cell: 7.4751 7.4751 17.2420 Å, 90.00 90.00 120.00°
Space group R-3m (No. 166, hexagonal axes)
Unique sites:
K: 0.0000 0.0000 0.0998 (multiplicity 6)
Cd: 0.0552 0.5276 0.0913 (multiplicity 18)
Pt: 0.0000 0.0000 0.3003 (multiplicity 6)

Values from the calculation:
D(E_F)   10.24 states/eV/cell
Total moment   0.00 Bohr magnetons per cell


Relative energies, meV per atom: #w 0; #x 44.


#w
Density functional theory data (PBE-GGA) for an optimized crystal structure of MnMo2Ru.

Cell: 2.8234 2.8234 7.1672 Å, 90.00 90.00 90.00°
Space group P4/mmm (No. 123)
Unique sites:
Mn: 0.0000 0.0000 0.0000 (multiplicity 1)
Mo: 0.5000 0.5000 0.2353 (multiplicity 2)
Ru: 0.0000 0.0000 0.5000 (multiplicity 1)

Values from the calculation:
D(E_F)   4.74 states/eV/cell
Total moment   1.34 Bohr magnetons per cell


#x
Density functional theory data (PBE-GGA) for an optimized crystal structure of MnMo2Ru.

Cell: 9.0784 2.7808 4.6937 Å, 90.00 101.58 90.00°
Space group Cm (No. 8)
Unique sites:
Mn: 0.0000 0.0000 0.0000 (multiplicity 2)
Mo: 0.0139 0.5000 0.5095 (multiplicity 2)
Mo: 0.2434 0.5000 0.2001 (multiplicity 2)
Ru: 0.2687 0.0000 0.7204 (multiplicity 2)

Values from the calculation:
D(E_F)   8.38 states/eV/cell
Total moment   3.46 Bohr magnetons per cell


Relative energies, meV per atom: #w 0; #x 12.


#w
Density functional theory data (PBE-GGA) for an optimized crystal structure of CaAg2Ir.

Cell: 4.2413 4.2413 8.4033 Å, 90.00 90.00 90.00°
Space group I-4m2 (No. 119)
Unique sites:
Ca: 0.0000 0.0000 0.0000 (multiplicity 2)
Ag: 0.0000 0.0000 0.5000 (multiplicity 2)
Ag: 0.0000 0.5000 0.7500 (multiplicity 2)
Ir: 0.0000 0.5000 0.2500 (multiplicity 2)

Values from the calculation:
D(E_F)   4.62 states/eV/cell
Total moment   0.00 Bohr magnetons per cell


#x
Density functional theory data (PBE-GGA) for an optimized crystal structure of CaAg2Ir.

Cell: 2.9837 2.9837 29.3666 Å, 90.00 90.00 120.00°
Space group R-3m (No. 166, hexagonal axes)
Unique sites:
Ca: 0.0000 0.0000 0.0000 (multiplicity 3)
Ag: 0.0000 0.0000 0.2449 (multiplicity 6)
Ir: 0.0000 0.0000 0.5000 (multiplicity 3)

Values from the calculation:
D(E_F)   16.09 states/eV/cell
Total moment   2.35 Bohr magnetons per cell


Relative energies, meV per atom: #w 0; #x 454.


#w
Density functional theory data (PBE-GGA) for an optimized crystal structure of B2C.

Cell: 4.7537 2.7454 6.7675 Å, 90.00 90.71 90.00°
Space group Pm (No. 6)
Unique sites:
B: 0.0000 0.0000 0.0000 (multiplicity 1)
B: 0.0237 0.0000 0.5581 (multiplicity 1)
B: 0.2126 0.5000 0.8248 (multiplicity 1)
B: 0.4513 0.0000 0.1553 (multiplicity 1)
B: 0.5190 0.5000 0.5007 (multiplicity 1)
B: 0.6504 0.0000 0.8238 (multiplicity 1)
B: 0.8248 0.5000 0.1480 (multiplicity 1)
B: 0.8546 0.5000 0.8999 (multiplicity 1)
C: 0.1901 0.5000 0.5788 (multiplicity 1)
C: 0.3417 0.0000 0.9306 (multiplicity 1)
C: 0.5439 0.5000 0.2537 (multiplicity 1)
C: 0.6913 0.0000 0.5891 (multiplicity 1)

Values from the calculation:
D(E_F)   2.69 states/eV/cell
Total moment   0.00 Bohr magnetons per cell


#x
Density functional theory data (PBE-GGA) for an optimized crystal structure of B2C.

Cell: 2.2830 2.5859 13.9459 Å, 90.00 90.00 90.00°
Space group Pmm2 (No. 25)
Unique sites:
B: 0.0000 0.0000 0.0000 (multiplicity 1)
B: 0.0000 0.0000 0.3125 (multiplicity 1)
B: 0.0000 0.5000 0.4014 (multiplicity 1)
B: 0.0000 0.5000 0.7440 (multiplicity 1)
B: 0.5000 0.0000 0.2126 (multiplicity 1)
B: 0.5000 0.0000 0.5902 (multiplicity 1)
B: 0.5000 0.5000 0.4997 (multiplicity 1)
B: 0.5000 0.5000 0.8464 (multiplicity 1)
C: 0.0000 0.0000 0.6763 (multiplicity 1)
C: 0.0000 0.5000 0.0751 (multiplicity 1)
C: 0.5000 0.0000 0.9135 (multiplicity 1)
C: 0.5000 0.5000 0.1379 (multiplicity 1)

Values from the calculation:
D(E_F)   2.08 states/eV/cell
Total moment   0.00 Bohr magnetons per cell


Relative energies, meV per atom: #w 0; #x 50.